[1]
# CuTcPb2 | Alexandria | PBE | relaxed
data_CuTcPb2
_chemical_formula_sum 'Cu1 Tc1 Pb2'
_symmetry_space_group_name_H-M 'P 1'
_symmetry_Int_Tables_number 1
_cell_length_a 3.353
_cell_length_b 4.848
_cell_length_c 4.882
_cell_angle_alpha 89.93
_cell_angle_beta 89.89
_cell_angle_gamma 89.99
loop_
_symmetry_equiv_pos_as_xyz
'x,y,z'
loop_
_atom_site_label
_atom_site_fract_x
_atom_site_fract_y
_atom_site_fract_z
Cu1 0.000 0.000 0.000
Tc1 0.000 0.500 0.500
Pb1 0.500 0.000 0.500
Pb2 0.500 0.500 0.000
# Magnetization in μB/f.u.: 0.56
# Symmetry: P-1
# ΔE_f in eV per formula unit: 2.43

[2]
# CuTcPb2 | Alexandria | PBE | relaxed
data_CuTcPb2
_chemical_formula_sum 'Cu1 Tc1 Pb2'
_symmetry_space_group_name_H-M 'P 1'
_symmetry_Int_Tables_number 1
_cell_length_a 4.749
_cell_length_b 4.749
_cell_length_c 5.577
_cell_angle_alpha 102.06
_cell_angle_beta 102.06
_cell_angle_gamma 42.17
loop_
_symmetry_equiv_pos_as_xyz
'x,y,z'
loop_
_atom_site_label
_atom_site_fract_x
_atom_site_fract_y
_atom_site_fract_z
Cu1 0.000 0.000 0.000
Tc1 0.500 0.500 0.500
Pb1 0.247 0.247 0.744
Pb2 0.753 0.753 0.256
# Magnetization in μB/f.u.: 0.51
# Symmetry: C2/m
# ΔE_f in eV per formula unit: 2.75

[3]
# CuTcPb2 | Alexandria | PBE | relaxed
data_CuTcPb2
_chemical_formula_sum 'Cu1 Tc1 Pb2'
_symmetry_space_group_name_H-M 'P 1'
_symmetry_Int_Tables_number 1
_cell_length_a 4.948
_cell_length_b 4.948
_cell_length_c 4.948
_cell_angle_alpha 60.00
_cell_angle_beta 60.00
_cell_angle_gamma 60.00
loop_
_symmetry_equiv_pos_as_xyz
'x,y,z'
loop_
_atom_site_label
_atom_site_fract_x
_atom_site_fract_y
_atom_site_fract_z
Cu1 0.000 0.000 0.000
Tc1 0.250 0.250 0.250
Pb1 0.500 0.500 0.500
Pb2 0.750 0.750 0.750
# Magnetization in μB/f.u.: 1.62
# Symmetry: F-43m
# ΔE_f in eV per formula unit: 3.58

[4]
# CuTc2Pb | Alexandria | PBE | relaxed
data_CuTc2Pb
_chemical_formula_sum 'Cu2 Tc4 Pb2'
_symmetry_space_group_name_H-M 'P 1'
_symmetry_Int_Tables_number 1
_cell_length_a 10.008
_cell_length_b 10.008
_cell_length_c 10.008
_cell_angle_alpha 157.56
_cell_angle_beta 157.56
_cell_angle_gamma 31.95
loop_
_symmetry_equiv_pos_as_xyz
'x,y,z'
loop_
_atom_site_label
_atom_site_fract_x
_atom_site_fract_y
_atom_site_fract_z
Cu1 0.000 0.000 0.000
Cu2 0.750 0.250 0.500
Tc1 0.050 0.625 0.925
Tc2 0.375 0.300 0.425
Tc3 0.700 0.125 0.075
Tc4 0.875 0.950 0.575
Pb1 0.250 0.750 0.500
Pb2 0.500 0.500 0.000
# Magnetization in μB/f.u.: 0.00
# Symmetry: I-42d
# ΔE_f in eV per formula unit: 2.67

[5]
# CuTcPb2 | Alexandria | PBE | relaxed
data_CuTcPb2
_chemical_formula_sum 'Cu1 Tc1 Pb2'
_symmetry_space_group_name_H-M 'P 1'
_symmetry_Int_Tables_number 1
_cell_length_a 4.292
_cell_length_b 5.547
_cell_length_c 5.547
_cell_angle_alpha 37.78
_cell_angle_beta 90.00
_cell_angle_gamma 90.00
loop_
_symmetry_equiv_pos_as_xyz
'x,y,z'
loop_
_atom_site_label
_atom_site_fract_x
_atom_site_fract_y
_atom_site_fract_z
Cu1 0.000 0.000 0.000
Tc1 0.500 0.854 0.854
Pb1 0.000 0.279 0.279
Pb2 0.500 0.572 0.572
# Magnetization in μB/f.u.: 0.00
# Symmetry: Amm2
# ΔE_f in eV per formula unit: 1.61

[6]
# CuTcPb | Alexandria | PBE | relaxed
data_CuTcPb
_chemical_formula_sum 'Cu1 Tc1 Pb1'
_symmetry_space_group_name_H-M 'P 1'
_symmetry_Int_Tables_number 1
_cell_length_a 4.499
_cell_length_b 4.499
_cell_length_c 2.937
_cell_angle_alpha 90.00
_cell_angle_beta 90.00
_cell_angle_gamma 120.00
loop_
_symmetry_equiv_pos_as_xyz
'x,y,z'
loop_
_atom_site_label
_atom_site_fract_x
_atom_site_fract_y
_atom_site_fract_z
Cu1 0.000 0.000 0.000
Tc1 0.333 0.667 0.588
Pb1 0.667 0.333 0.166
# Magnetization in μB/f.u.: 0.00
# Symmetry: P3m1
# ΔE_f in eV per formula unit: 2.10